No. 1
Density functional theory data (PBE-GGA) for Co3Ni after structural relaxation.

abc: 4.5994 4.5994 14.8143
angles: 90.00 90.00 120.00
Element x y z (fractional)
Co 0.6667 0.3333 0.6283
Co 0.3202 0.1601 0.7500
Co 0.3333 0.6667 0.8410
Co 0.3333 0.6667 0.3717
Co 0.8399 0.1601 0.7500
Co 0.0000 0.0000 0.9103
Co 0.3333 0.6667 0.6590
Co 0.3333 0.6667 0.1283
Co 0.6798 0.8399 0.2500
Co 0.6667 0.3333 0.1590
Co 0.0000 0.0000 0.0897
Co 0.6667 0.3333 0.8717
Co 0.6667 0.3333 0.3410
Co 0.1601 0.3202 0.2500
Co 0.8399 0.6798 0.7500
Co 0.1601 0.8399 0.2500
Co 0.0000 0.0000 0.5897
Co 0.0000 0.0000 0.4103
Ni 0.5000 0.5000 0.5000
Ni 0.5000 0.0000 0.5000
Ni 0.5000 0.5000 0.0000
Ni 0.0000 0.5000 0.5000
Ni 0.0000 0.5000 0.0000
Ni 0.5000 0.0000 0.0000

## Properties
**DFT formation energy**: 0.195 eV/atom
**Mass density**: 8.64 g/cm3
**Total DFT energy (no corrections)**: -156.6 eV per cell
**Spin magnetization**: 5.73 μB/f.u.


No. 2
Density functional theory data (PBE-GGA) for Co2Ni3 after structural relaxation.

abc: 5.8980 5.8980 5.1961
angles: 124.58 55.42 120.00
Element x y z (fractional)
Co 0.5920 0.4080 0.2239
Co 0.4080 0.5920 0.7761
Co 0.9080 0.0920 0.2761
Co 0.0920 0.9080 0.7239
Ni 0.7500 0.0011 0.7500
Ni 0.2500 0.9989 0.2500
Ni 0.4989 0.7500 0.2500
Ni 0.9989 0.4989 0.7500
Ni 0.0011 0.5011 0.2500
Ni 0.5011 0.2500 0.7500

## Properties
**DFT formation energy**: 0.440 eV/atom
**Mass density**: 8.26 g/cm3
**Total DFT energy (no corrections)**: -57.4 eV per cell
**Spin magnetization**: 5.41 μB/f.u.


No. 3
Density functional theory data (PBE-GGA) for Co5Ni8 after structural relaxation.

abc: 8.4387 8.4387 8.4387
angles: 31.42 31.42 31.42
Element x y z (fractional)
Ni 0.4156 0.9114 0.9114
Ni 0.9114 0.9114 0.4156
Ni 0.9114 0.4156 0.9114
Ni 0.3484 0.3484 0.3484
Ni 0.5844 0.0886 0.0886
Ni 0.0886 0.0886 0.5844
Ni 0.0886 0.5844 0.0886
Ni 0.6516 0.6516 0.6516
Co 0.4541 0.4541 0.4541
Co 0.1654 0.1654 0.1654
Co 0.8346 0.8346 0.8346
Co 0.0000 0.0000 0.0000
Co 0.5459 0.5459 0.5459

## Properties
**DFT formation energy**: 0.149 eV/atom
**Mass density**: 8.75 g/cm3
**Total DFT energy (no corrections)**: -78.1 eV per cell
**Spin magnetization**: 13.54 μB/f.u.